# 1
DFT (GGA-PBE) results for PrY2Tm after structural relaxation.

Unit cell a=3.669 b=6.782 c=6.782 alpha=55.35 beta=74.32 gamma=74.32
Positions (direct):
Pr1 0.250 0.171 0.329
Y1 0.003 0.078 0.915
Y2 0.497 0.585 0.422
Tm1 0.750 0.666 0.834

The formation energy comes out at 12 meV per atom. For the energy above the most stable polymorph in this dataset, the calculation gives 0.00 eV/f.u.

# 2
DFT (GGA-PBE) results for Pr4Y3Tm after structural relaxation.

Unit cell a=3.634 b=6.316 c=23.288 alpha=149.36 beta=94.47 gamma=90.00
Positions (direct):
Pr1 0.625 0.124 0.250
Pr2 0.375 0.876 0.750
Pr3 0.876 0.381 0.752
Pr4 0.124 0.619 0.248
Y1 0.000 0.500 0.000
Y2 0.250 0.751 0.501
Y3 0.750 0.249 0.499
Tm1 0.500 0.000 0.000

The formation energy comes out at 9 meV per atom. For the energy above the most stable polymorph in this dataset, the calculation gives 0.00 eV/f.u.

What did the first record say?
DFT (GGA-PBE) results for PrY2Tm after structural relaxation.

Unit cell a=3.669 b=6.782 c=6.782 alpha=55.35 beta=74.32 gamma=74.32
Positions (direct):
Pr1 0.250 0.171 0.329
Y1 0.003 0.078 0.915
Y2 0.497 0.585 0.422
Tm1 0.750 0.666 0.834

The formation energy comes out at 12 meV per atom. For the energy above the most stable polymorph in this dataset, the calculation gives 0.00 eV/f.u.

Copy entry 1 word for word.
DFT (GGA-PBE) results for PrY2Tm after structural relaxation.

Unit cell a=3.669 b=6.782 c=6.782 alpha=55.35 beta=74.32 gamma=74.32
Positions (direct):
Pr1 0.250 0.171 0.329
Y1 0.003 0.078 0.915
Y2 0.497 0.585 0.422
Tm1 0.750 0.666 0.834

The formation energy comes out at 12 meV per atom. For the energy above the most stable polymorph in this dataset, the calculation gives 0.00 eV/f.u.